No. 1
This record from OQMD via LeMat-Bulk describes a relaxed BeSnOs crystal. The functional is GGA-PBE.

Its total moment is 0.000 μB/f.u. The calculation puts the total energy at -17.93 eV for the cell shown.

a b c (Å): 4.0325 4.0325 4.0325
angles (deg): 60.00 60.00 60.00
Closest atoms and distances in Å follow each position.
Sites, in units of the cell vectors:
Be (0.0000, 0.0000, 0.0000)  4 Os 2.47, 4 Sn 2.47
Sn (0.2500, 0.2500, 0.2500)  4 Be 2.47
Os (0.7500, 0.7500, 0.7500)  4 Be 2.47

No. 2
This record from OQMD via LeMat-Bulk describes a relaxed NdMg crystal. The functional is GGA-PBE.

Its total moment is 0.004 μB/f.u. The calculation puts the total energy at -50.88 eV for the cell shown.

a b c (Å): 5.4026 13.4020 6.5085
angles (deg): 90.00 90.00 90.00
Closest atoms and distances in Å follow each position.
Sites, in units of the cell vectors:
Nd (0.2500, 0.1023, 0.0936)  7 Mg 3.33-3.71, 2 Nd 3.49
Nd (0.2500, 0.2500, 0.5898)  6 Mg 3.31-3.43, 2 Nd 3.52
Nd (0.2500, 0.3977, 0.0936)  7 Mg 3.33-3.71, 2 Nd 3.49
Nd (0.2500, 0.7500, 0.7581)  6 Mg 3.40-3.74, 6 Nd 3.49-3.52
Nd (0.7500, 0.2500, 0.2419)  6 Mg 3.40-3.74, 6 Nd 3.49-3.52
Nd (0.7500, 0.6023, 0.9064)  7 Mg 3.33-3.71, 2 Nd 3.49
Nd (0.7500, 0.7500, 0.4102)  6 Mg 3.31-3.43, 2 Nd 3.52
Nd (0.7500, 0.8977, 0.9064)  7 Mg 3.33-3.71, 2 Nd 3.49
Mg (0.2500, 0.5053, 0.6195)  5 Mg 3.08-3.45, 3 Nd 3.40-3.43
Mg (0.2500, 0.6371, 0.2318)  2 Mg 3.03-3.08, 3 Nd 3.31-3.33
Mg (0.2500, 0.8629, 0.2318)  2 Mg 3.03-3.08, 3 Nd 3.31-3.33
Mg (0.2500, 0.9947, 0.6195)  5 Mg 3.08-3.45, 3 Nd 3.40-3.43
Mg (0.7500, 0.0053, 0.3805)  5 Mg 3.08-3.45, 3 Nd 3.40-3.43
Mg (0.7500, 0.1371, 0.7682)  2 Mg 3.03-3.08, 3 Nd 3.31-3.33
Mg (0.7500, 0.3629, 0.7682)  2 Mg 3.03-3.08, 3 Nd 3.31-3.33
Mg (0.7500, 0.4947, 0.3805)  5 Mg 3.08-3.45, 3 Nd 3.40-3.43